Material: UMnAlV
Method: DFT, PBE
State: optimized geometry

```
UMnAlV
1.0
-2.0406 -2.3225 3.1618
1.8115 -0.3279 4.0207
-1.8462 2.0870 3.4338
Mn U Al V
1 1 1 1
Direct
0.0000 0.0000 0.0000 Mn
0.7500 0.7500 0.7500 U
0.2500 0.2500 0.2500 Al
0.5000 0.5000 0.5000 V
```

Computed properties:
Volume (Å³/atom): 15.286
E_tot (Ha/atom): -0.3065
E_form (eV per atom): -0.011
DOS at the Fermi energy (states/eV/cell): 6.30
Size of the total moment (μB per formula unit): 1.30
Mass density (kg/m3): 10072